(1)
{
  "formula": "CeNpRuRh",
  "functional": "PBE",
  "state": "optimized geometry",
  "e_form_kj_per_mol_atoms": -26,
  "crystal_system": "cubic",
  "cell": [[-3.403, -1.368, -3.156], [1.087, -3.134, -3.523], [-1.760, -4.505, 0.141]],
  "species": ["Np", "Ru", "Rh", "Ce"],
  "frac_coords": [[0.000, 0.000, 0.000], [0.750, 0.750, 0.750], [0.250, 0.250, 0.250], [0.500, 0.500, 0.500]]
}

(2)
{
  "formula": "Sr6Ag5Pt",
  "functional": "PBE",
  "state": "optimized geometry",
  "e_form_kj_per_mol_atoms": -34,
  "crystal_system": "monoclinic",
  "cell": [[-5.376, -0.763, 0.784], [0.235, -6.353, -4.573], [4.309, -4.257, 6.136]],
  "species": ["Sr", "Sr", "Sr", "Sr", "Sr", "Sr", "Pt", "Ag", "Ag", "Ag", "Ag", "Ag"],
  "frac_coords": [[0.841, 0.756, 0.679], [0.841, 0.244, 0.679], [0.500, 0.236, 0.000], [0.500, 0.764, 0.000], [0.159, 0.756, 0.321], [0.159, 0.244, 0.321], [0.000, 0.000, 0.000], [0.666, 0.500, 0.336], [0.327, 0.000, 0.651], [0.000, 0.500, 0.000], [0.673, 0.000, 0.349], [0.334, 0.500, 0.664]]
}

(3)
{
  "formula": "LaNdIrAu",
  "functional": "PBE",
  "state": "optimized geometry",
  "e_form_kj_per_mol_atoms": -65,
  "crystal_system": "cubic",
  "cell": [[5.171, 0.000, 0.000], [2.585, 4.478, 0.000], [2.585, 1.493, 4.222]],
  "species": ["Nd", "Ir", "Au", "La"],
  "frac_coords": [[0.750, 0.750, 0.750], [0.500, 0.500, 0.500], [0.000, 0.000, 0.000], [0.250, 0.250, 0.250]]
}

(4)
{
  "formula": "Nd3ErCd",
  "functional": "PBE",
  "state": "optimized geometry",
  "e_form_kj_per_mol_atoms": -10,
  "relative_energy_ev_per_fu": 0.00,
  "crystal_system": "monoclinic",
  "cell": [[-3.030, -1.497, -1.643], [2.276, -7.902, 3.003], [-2.979, 0.205, 9.605]],
  "species": ["Nd", "Nd", "Nd", "Nd", "Nd", "Nd", "Er", "Er", "Cd", "Cd"],
  "frac_coords": [[0.995, 0.285, 0.990], [0.005, 0.715, 0.010], [0.401, 0.035, 0.803], [0.599, 0.965, 0.197], [0.187, 0.623, 0.374], [0.813, 0.377, 0.626], [0.794, 0.832, 0.588], [0.206, 0.168, 0.412], [0.605, 0.415, 0.211], [0.395, 0.585, 0.789]]
}

(5)
{
  "formula": "Pm4Mg5Hg2",
  "functional": "PBE",
  "state": "optimized geometry",
  "e_form_kj_per_mol_atoms": -17,
  "crystal_system": "monoclinic",
  "cell": [[3.525, 0.000, 0.000], [0.000, 8.119, 0.043], [0.000, -0.732, 10.649]],
  "species": ["Pm", "Pm", "Pm", "Pm", "Mg", "Mg", "Mg", "Mg", "Mg", "Hg", "Hg"],
  "frac_coords": [[0.500, 0.734, 0.552], [0.500, 0.158, 0.882], [0.500, 0.266, 0.448], [0.500, 0.842, 0.118], [0.000, 0.564, 0.294], [0.000, 0.201, 0.165], [0.000, 0.500, 0.000], [0.000, 0.799, 0.835], [0.000, 0.436, 0.706], [0.000, 0.060, 0.642], [0.000, 0.940, 0.358]]
}

(6)
{
  "formula": "AgTe2MoAs",
  "functional": "PBE",
  "state": "optimized geometry",
  "formation_energy_uncorrected_ev_per_atom": 1.38,
  "crystal_system": "tetragonal",
  "cell": [[5.296, 0.000, 0.000], [0.000, 5.265, 0.000], [0.000, 0.000, 5.296]],
  "species": ["Mo", "Te", "Te", "As", "Ag"],
  "frac_coords": [[0.000, 0.500, 0.000], [0.000, 0.000, 0.500], [0.500, 0.000, 0.000], [0.500, 0.500, 0.500], [0.000, 0.000, 0.000]]
}